Entry 1:
## Tm2Sc3Pt2 (PBE-GGA)

Data for crystalline Tm2Sc3Pt2 at its relaxed geometry.

Geometry as CIF:
```
data_Tm2Sc3Pt2
_space_group_name_H-M_alt 'C 1 2/m 1'
_space_group_IT_number 12
_space_group_name_Hall '-C 2y'
_cell_length_a 10.444
_cell_length_b 4.399
_cell_length_c 7.540
_cell_angle_alpha 90.00
_cell_angle_beta 113.08
_cell_angle_gamma 90.00
loop_
_atom_site_label
_atom_site_fract_x
_atom_site_fract_y
_atom_site_fract_z
Tm1 0.143 0.000 0.298
Sc1 0.000 0.500 0.500
Sc2 0.132 0.500 0.944
Pt1 0.157 0.000 0.704
```

## Properties
Volume = 318.7 Å³ per cell

=====

Entry 2:
## TmSc2Pt (PBE-GGA)

Data for crystalline TmSc2Pt at its relaxed geometry.

Geometry as CIF:
```
data_TmSc2Pt
_space_group_name_H-M_alt 'C m c m'
_space_group_IT_number 63
_space_group_name_Hall '-C 2c 2'
_cell_length_a 4.538
_cell_length_b 11.056
_cell_length_c 7.467
_cell_angle_alpha 90.00
_cell_angle_beta 90.00
_cell_angle_gamma 90.00
loop_
_atom_site_label
_atom_site_fract_x
_atom_site_fract_y
_atom_site_fract_z
Tm1 0.000 0.052 0.250
Sc1 0.000 0.348 0.044
Pt1 0.000 0.202 0.750
```

## Properties
Volume = 374.6 Å³ per cell
Distance to the lowest polymorph of the same formula = 1.8 kJ per mole of atoms

=====

Entry 3:
## Tm2ScPt2 (PBE-GGA)

Data for crystalline Tm2ScPt2 at its relaxed geometry.

Geometry as CIF:
```
data_Tm2ScPt2
_space_group_name_H-M_alt 'P m m n'
_space_group_IT_number 59
_cell_length_a 4.754
_cell_length_b 4.786
_cell_length_c 10.053
_cell_angle_alpha 90.00
_cell_angle_beta 90.00
_cell_angle_gamma 90.00
loop_
_space_group_symop_operation_xyz
'x,y,z'
'-x,-y,-z'
'-x+1/2,-y+1/2,z'
'x+1/2,y+1/2,-z'
'x+1/2,-y,-z'
'-x+1/2,y,z'
'-x,y+1/2,-z'
'x,-y+1/2,z'
loop_
_atom_site_label
_atom_site_fract_x
_atom_site_fract_y
_atom_site_fract_z
Tm1 0.250 0.250 0.008
Tm2 0.250 0.250 0.671
Sc1 0.250 0.250 0.339
Pt1 0.250 0.750 0.166
Pt2 0.250 0.750 0.515
```

## Properties
Volume = 228.8 Å³ per cell

=====

Entry 4:
## Tm2Sc3Pt4 (PBE-GGA)

Data for crystalline Tm2Sc3Pt4 at its relaxed geometry.

Geometry as CIF:
```
data_Tm2Sc3Pt4
_space_group_name_H-M_alt 'C m c e'
_space_group_IT_number 64
_space_group_name_Hall '-C 2ac 2'
_cell_length_a 5.952
_cell_length_b 16.831
_cell_length_c 7.373
_cell_angle_alpha 90.00
_cell_angle_beta 90.00
_cell_angle_gamma 90.00
loop_
_atom_site_label
_atom_site_fract_x
_atom_site_fract_y
_atom_site_fract_z
Tm1 0.000 0.097 0.091
Sc1 0.000 0.000 0.500
Sc2 0.250 0.232 0.750
Pt1 0.000 0.167 0.457
Pt2 0.250 0.068 0.750
```

## Properties
Volume = 738.7 Å³ per cell
Distance to the lowest polymorph of the same formula = 11.3 kJ per mole of atoms

=====

Entry 5:
## Tm3Sc2Pt2 (PBE-GGA)

Data for crystalline Tm3Sc2Pt2 at its relaxed geometry.

Geometry as CIF:
```
data_Tm3Sc2Pt2
_space_group_name_H-M_alt 'C 1 2/m 1'
_space_group_IT_number 12
_space_group_name_Hall '-C 2y'
_cell_length_a 11.873
_cell_length_b 3.625
_cell_length_c 8.723
_cell_angle_alpha 90.00
_cell_angle_beta 115.89
_cell_angle_gamma 90.00
loop_
_atom_site_label
_atom_site_fract_x
_atom_site_fract_y
_atom_site_fract_z
Tm1 0.000 0.000 0.000
Tm2 0.113 0.000 0.435
Sc1 0.165 0.500 0.821
Pt1 0.182 0.500 0.233
```

## Properties
Volume = 337.7 Å³ per cell

=====

Entry 6:
## TmSc2Pt (PBE-GGA)

Data for crystalline TmSc2Pt at its relaxed geometry.

Geometry as CIF:
```
data_TmSc2Pt
_space_group_name_H-M_alt 'P n m a'
_space_group_IT_number 62
_space_group_name_Hall '-P 2ac 2n'
_cell_length_a 6.751
_cell_length_b 9.069
_cell_length_c 6.105
_cell_angle_alpha 90.00
_cell_angle_beta 90.00
_cell_angle_gamma 90.00
loop_
_atom_site_label
_atom_site_fract_x
_atom_site_fract_y
_atom_site_fract_z
Tm1 0.018 0.250 0.116
Sc1 0.178 0.056 0.679
Pt1 0.106 0.750 0.440
```

## Properties
Volume = 373.8 Å³ per cell
Distance to the lowest polymorph of the same formula = 0.0 kJ per mole of atoms

=====

Entry 7:
## Tm5ScPt2 (PBE-GGA)

Data for crystalline Tm5ScPt2 at its relaxed geometry.

Geometry as CIF:
```
data_Tm5ScPt2
_space_group_name_H-M_alt 'I m m m'
_space_group_IT_number 71
_space_group_name_Hall '-I 2 2'
_cell_length_a 4.047
_cell_length_b 7.404
_cell_length_c 14.348
_cell_angle_alpha 90.00
_cell_angle_beta 90.00
_cell_angle_gamma 90.00
loop_
_atom_site_label
_atom_site_fract_x
_atom_site_fract_y
_atom_site_fract_z
Tm1 0.000 0.000 0.000
Tm2 0.000 0.251 0.354
Sc1 0.000 0.500 0.000
Pt1 0.000 0.000 0.202
```

## Properties
Volume = 429.9 Å³ per cell

=====

Entry 8:
## TmSc2Pt4 (PBE-GGA)

Data for crystalline TmSc2Pt4 at its relaxed geometry.

Geometry as CIF:
```
data_TmSc2Pt4
_space_group_name_H-M_alt 'I 4/m m m'
_space_group_IT_number 139
_space_group_name_Hall '-I 4 2'
_cell_length_a 6.827
_cell_length_b 6.827
_cell_length_c 5.928
_cell_angle_alpha 90.00
_cell_angle_beta 90.00
_cell_angle_gamma 90.00
loop_
_atom_site_label
_atom_site_fract_x
_atom_site_fract_y
_atom_site_fract_z
Tm1 0.000 0.000 0.000
Sc1 0.000 0.500 0.000
Pt1 0.250 0.250 0.250
```

## Properties
Volume = 276.3 Å³ per cell

=====

Entry 9:
## Tm2ScPt2 (PBE-GGA)

Data for crystalline Tm2ScPt2 at its relaxed geometry.

Geometry as CIF:
```
data_Tm2ScPt2
_space_group_name_H-M_alt 'I m m m'
_space_group_IT_number 71
_space_group_name_Hall '-I 2 2'
_cell_length_a 4.161
_cell_length_b 6.271
_cell_length_c 8.467
_cell_angle_alpha 90.00
_cell_angle_beta 90.00
_cell_angle_gamma 90.00
loop_
_atom_site_label
_atom_site_fract_x
_atom_site_fract_y
_atom_site_fract_z
Tm1 0.000 0.000 0.201
Sc1 0.000 0.500 0.000
Pt1 0.000 0.277 0.500
```

## Properties
Volume = 220.9 Å³ per cell

=====

Entry 10:
## Tm2ScPt (PBE-GGA)

Data for crystalline Tm2ScPt at its relaxed geometry.

Geometry as CIF:
```
data_Tm2ScPt
_space_group_name_H-M_alt 'P 4/m m m'
_space_group_IT_number 123
_space_group_name_Hall '-P 4 2'
_cell_length_a 3.523
_cell_length_b 3.523
_cell_length_c 7.725
_cell_angle_alpha 90.00
_cell_angle_beta 90.00
_cell_angle_gamma 90.00
loop_
_atom_site_label
_atom_site_fract_x
_atom_site_fract_y
_atom_site_fract_z
Tm1 0.000 0.000 0.210
Sc1 0.500 0.500 0.500
Pt1 0.500 0.500 0.000
```

## Properties
Volume = 95.9 Å³ per cell
Distance to the lowest polymorph of the same formula = 7.9 kJ per mole of atoms

=====

Entry 11:
## TmSc2Pt (PBE-GGA)

Data for crystalline TmSc2Pt at its relaxed geometry.

Geometry as CIF:
```
data_TmSc2Pt
_space_group_name_H-M_alt 'P 4/m m m'
_space_group_IT_number 123
_space_group_name_Hall '-P 4 2'
_cell_length_a 3.378
_cell_length_b 3.378
_cell_length_c 7.930
_cell_angle_alpha 90.00
_cell_angle_beta 90.00
_cell_angle_gamma 90.00
loop_
_atom_site_label
_atom_site_fract_x
_atom_site_fract_y
_atom_site_fract_z
Tm1 0.000 0.000 0.000
Sc1 0.500 0.500 0.304
Pt1 0.000 0.000 0.500
```

## Properties
Volume = 90.5 Å³ per cell
Distance to the lowest polymorph of the same formula = 12.7 kJ per mole of atoms

=====

Entry 12:
## TmSc2Pt (PBE-GGA)

Data for crystalline TmSc2Pt at its relaxed geometry.

Geometry as CIF:
```
data_TmSc2Pt
_space_group_name_H-M_alt 'R -3 m'
_space_group_IT_number 166
_space_group_name_Hall '-R 3 2"'
_cell_length_a 3.5482
_cell_length_b 3.5482
_cell_length_c 27.3022
_cell_angle_alpha 90.00
_cell_angle_beta 90.00
_cell_angle_gamma 120.00
loop_
_atom_site_label
_atom_site_fract_x
_atom_site_fract_y
_atom_site_fract_z
Tm1 0.0000 0.0000 0.0000
Sc1 0.0000 0.0000 0.2301
Pt1 0.0000 0.0000 0.5000
```

## Properties
Volume = 297.7 Å³ per cell
Distance to the lowest polymorph of the same formula = 28.7 kJ per mole of atoms

=====

Entry 13:
## TmSc4Pt5 (PBE-GGA)

Data for crystalline TmSc4Pt5 at its relaxed geometry.

Geometry as CIF:
```
data_TmSc4Pt5
_space_group_name_H-M_alt 'P 4/m m m'
_space_group_IT_number 123
_space_group_name_Hall '-P 4 2'
_cell_length_a 3.279
_cell_length_b 3.279
_cell_length_c 17.146
_cell_angle_alpha 90.00
_cell_angle_beta 90.00
_cell_angle_gamma 90.00
loop_
_atom_site_label
_atom_site_fract_x
_atom_site_fract_y
_atom_site_fract_z
Tm1 0.000 0.000 0.000
Sc1 0.000 0.000 0.205
Sc2 0.000 0.000 0.402
Pt1 0.500 0.500 0.110
Pt2 0.500 0.500 0.304
Pt3 0.500 0.500 0.500
```

## Properties
Volume = 184.3 Å³ per cell

=====

Entry 14:
## Tm2ScPt (PBE-GGA)

Data for crystalline Tm2ScPt at its relaxed geometry.

Geometry as CIF:
```
data_Tm2ScPt
_space_group_name_H-M_alt 'C m c m'
_space_group_IT_number 63
_space_group_name_Hall '-C 2c 2'
_cell_length_a 3.653
_cell_length_b 12.029
_cell_length_c 8.932
_cell_angle_alpha 90.00
_cell_angle_beta 90.00
_cell_angle_gamma 90.00
loop_
_atom_site_label
_atom_site_fract_x
_atom_site_fract_y
_atom_site_fract_z
Tm1 0.000 0.134 0.062
Sc1 0.000 0.435 0.250
Pt1 0.000 0.244 0.750
```

## Properties
Volume = 392.5 Å³ per cell
Distance to the lowest polymorph of the same formula = 0.0 kJ per mole of atoms

=====

Entry 15:
## Tm2ScPt (PBE-GGA)

Data for crystalline Tm2ScPt at its relaxed geometry.

Geometry as CIF:
```
data_Tm2ScPt
_space_group_name_H-M_alt 'R -3 m'
_space_group_IT_number 166
_space_group_name_Hall '-R 3 2"'
_cell_length_a 3.6355
_cell_length_b 3.6355
_cell_length_c 27.6164
_cell_angle_alpha 90.00
_cell_angle_beta 90.00
_cell_angle_gamma 120.00
loop_
_atom_site_label
_atom_site_fract_x
_atom_site_fract_y
_atom_site_fract_z
Tm1 0.0000 0.0000 0.2336
Sc1 0.0000 0.0000 0.0000
Pt1 0.0000 0.0000 0.5000
```

## Properties
Volume = 316.1 Å³ per cell
Distance to the lowest polymorph of the same formula = 22.4 kJ per mole of atoms

=====

Entry 16:
## TmScPt6 (PBE-GGA)

Data for crystalline TmScPt6 at its relaxed geometry.

Geometry as CIF:
```
data_TmScPt6
_space_group_name_H-M_alt 'P 4/m m m'
_space_group_IT_number 123
_space_group_name_Hall '-P 4 2'
_cell_length_a 4.051
_cell_length_b 4.051
_cell_length_c 8.096
_cell_angle_alpha 90.00
_cell_angle_beta 90.00
_cell_angle_gamma 90.00
loop_
_atom_site_label
_atom_site_fract_x
_atom_site_fract_y
_atom_site_fract_z
Tm1 0.000 0.000 0.000
Sc1 0.000 0.000 0.500
Pt1 0.000 0.500 0.257
Pt2 0.500 0.500 0.000
Pt3 0.500 0.500 0.500
```

## Properties
Volume = 132.8 Å³ per cell

=====

Entry 17:
## TmSc2Pt9 (PBE-GGA)

Data for crystalline TmSc2Pt9 at its relaxed geometry.

Geometry as CIF:
```
data_TmSc2Pt9
_space_group_name_H-M_alt 'P 4/m m m'
_space_group_IT_number 123
_space_group_name_Hall '-P 4 2'
_cell_length_a 4.037
_cell_length_b 4.037
_cell_length_c 12.103
_cell_angle_alpha 90.00
_cell_angle_beta 90.00
_cell_angle_gamma 90.00
loop_
_atom_site_label
_atom_site_fract_x
_atom_site_fract_y
_atom_site_fract_z
Tm1 0.000 0.000 0.000
Sc1 0.000 0.000 0.335
Pt1 0.000 0.500 0.172
Pt2 0.000 0.500 0.500
Pt3 0.500 0.500 0.000
Pt4 0.500 0.500 0.336
```

## Properties
Volume = 197.2 Å³ per cell

=====

Entry 18:
## TmScZnPt (PBE-GGA)

Data for crystalline TmScZnPt at its relaxed geometry.

Geometry as CIF:
```
data_TmScZnPt
_space_group_name_H-M_alt 'F -4 3 m'
_space_group_IT_number 216
_space_group_name_Hall 'F -4 2 3'
_cell_length_a 6.804
_cell_length_b 6.804
_cell_length_c 6.804
_cell_angle_alpha 90.00
_cell_angle_beta 90.00
_cell_angle_gamma 90.00
loop_
_atom_site_label
_atom_site_fract_x
_atom_site_fract_y
_atom_site_fract_z
Tm1 0.000 0.000 0.000
Sc1 0.000 0.000 0.500
Zn1 0.250 0.250 0.250
Pt1 0.250 0.250 0.750
```

## Properties
Volume = 315.0 Å³ per cell

=====

Entry 19:
## ScUPt14 (PBE-GGA)

Data for crystalline ScUPt14 at its relaxed geometry.

Geometry as CIF:
```
data_ScUPt14
_space_group_name_H-M_alt 'P 4/m m m'
_space_group_IT_number 123
_space_group_name_Hall '-P 4 2'
_cell_length_a 5.704
_cell_length_b 5.704
_cell_length_c 8.011
_cell_angle_alpha 90.00
_cell_angle_beta 90.00
_cell_angle_gamma 90.00
loop_
_atom_site_label
_atom_site_fract_x
_atom_site_fract_y
_atom_site_fract_z
Sc1 0.000 0.000 0.000
U1 0.500 0.500 0.000
Pt1 0.000 0.000 0.500
Pt2 0.000 0.500 0.000
Pt3 0.000 0.500 0.500
Pt4 0.250 0.250 0.250
Pt5 0.500 0.500 0.500
```

## Properties
Volume = 260.6 Å³ per cell

=====

Entry 20:
## Sc2UPt9 (PBE-GGA)

Data for crystalline Sc2UPt9 at its relaxed geometry.

Geometry as CIF:
```
data_Sc2UPt9
_space_group_name_H-M_alt 'P 4/m m m'
_space_group_IT_number 123
_space_group_name_Hall '-P 4 2'
_cell_length_a 4.065
_cell_length_b 4.065
_cell_length_c 12.128
_cell_angle_alpha 90.00
_cell_angle_beta 90.00
_cell_angle_gamma 90.00
loop_
_atom_site_label
_atom_site_fract_x
_atom_site_fract_y
_atom_site_fract_z
Sc1 0.000 0.000 0.159
U1 0.000 0.000 0.500
Pt1 0.000 0.500 0.000
Pt2 0.000 0.500 0.329
Pt3 0.500 0.500 0.164
Pt4 0.500 0.500 0.500
```

## Properties
Volume = 200.4 Å³ per cell

=====

Entry 21:
## Sc3VPt (PBE-GGA)

Data for crystalline Sc3VPt at its relaxed geometry.

Geometry as CIF:
```
data_Sc3VPt
_space_group_name_H-M_alt 'P m -3 m'
_space_group_IT_number 221
_space_group_name_Hall '-P 4 2 3'
_cell_length_a 5.060
_cell_length_b 5.060
_cell_length_c 5.060
_cell_angle_alpha 90.00
_cell_angle_beta 90.00
_cell_angle_gamma 90.00
loop_
_atom_site_label
_atom_site_fract_x
_atom_site_fract_y
_atom_site_fract_z
Sc1 0.000 0.000 0.500
V1 0.500 0.500 0.500
Pt1 0.000 0.000 0.000
```

## Properties
Volume = 129.6 Å³ per cell
Distance to the lowest polymorph of the same formula = 0.0 kJ per mole of atoms

=====

Entry 22:
## Sc3VPt (PBE-GGA)

Data for crystalline Sc3VPt at its relaxed geometry.

Geometry as CIF:
```
data_Sc3VPt
_space_group_name_H-M_alt 'P m -3 m'
_space_group_IT_number 221
_space_group_name_Hall '-P 4 2 3'
_cell_length_a 4.709
_cell_length_b 4.709
_cell_length_c 4.709
_cell_angle_alpha 90.00
_cell_angle_beta 90.00
_cell_angle_gamma 90.00
loop_
_atom_site_label
_atom_site_fract_x
_atom_site_fract_y
_atom_site_fract_z
Sc1 0.000 0.000 0.500
V1 0.000 0.000 0.000
Pt1 0.500 0.500 0.500
```

## Properties
Volume = 104.4 Å³ per cell
Distance to the lowest polymorph of the same formula = 24.2 kJ per mole of atoms

=====

Entry 23:
## Sc3VPt12 (PBE-GGA)

Data for crystalline Sc3VPt12 at its relaxed geometry.

Geometry as CIF:
```
data_Sc3VPt12
_space_group_name_H-M_alt 'P 4/m m m'
_space_group_IT_number 123
_space_group_name_Hall '-P 4 2'
_cell_length_a 3.979
_cell_length_b 3.979
_cell_length_c 15.979
_cell_angle_alpha 90.00
_cell_angle_beta 90.00
_cell_angle_gamma 90.00
loop_
_atom_site_label
_atom_site_fract_x
_atom_site_fract_y
_atom_site_fract_z
Sc1 0.000 0.000 0.000
Sc2 0.000 0.000 0.250
V1 0.000 0.000 0.500
Pt1 0.000 0.500 0.127
Pt2 0.000 0.500 0.382
Pt3 0.500 0.500 0.000
Pt4 0.500 0.500 0.254
Pt5 0.500 0.500 0.500
```

## Properties
Volume = 253.0 Å³ per cell

=====

Entry 24:
## ScVPt (PBE-GGA)

Data for crystalline ScVPt at its relaxed geometry.

Geometry as CIF:
```
data_ScVPt
_space_group_name_H-M_alt 'I 4 m m'
_space_group_IT_number 107
_space_group_name_Hall 'I 4 -2'
_cell_length_a 3.172
_cell_length_b 3.172
_cell_length_c 9.988
_cell_angle_alpha 90.00
_cell_angle_beta 90.00
_cell_angle_gamma 90.00
loop_
_atom_site_label
_atom_site_fract_x
_atom_site_fract_y
_atom_site_fract_z
Sc1 0.000 0.000 0.000
V1 0.000 0.000 0.679
Pt1 0.000 0.000 0.322
```

## Properties
Volume = 100.5 Å³ per cell

=====

no.,total magnetic moment (μB/f.u.),ΔE_f (eV/atom),N(E_F) (states/eV per cell)
1,0.0,-0.779,19.16
2,0.0,-0.699,24.03
3,0.0,-1.053,7.19
4,0.0,-1.091,34.12
5,0.0,-0.790,19.23
6,0.0,-0.717,21.47
7,0.0,-0.612,14.41
8,0.0,-0.963,5.17
9,0.0,-1.054,7.30
10,0.0,-0.609,5.62
11,0.0,-0.585,5.46
12,0.0,-0.419,20.00
13,0.0,-1.245,5.29
14,0.0,-0.690,20.73
15,0.0,-0.458,14.68
16,0.0,-1.075,6.84
17,0.0,-1.071,10.39
18,0.0,-0.816,12.38
19,0.0,-0.484,18.94
20,1.2,-0.968,9.74
21,4.0,0.113,7.15
22,0.0,0.364,3.26
23,0.4,-0.918,12.24
24,0.0,-0.448,4.44